Record 1
4
Lattice="-2.252 1.935 1.952 -2.582 -0.619 -2.361 -2.433 -7.502 4.629" Properties=species:S:1:pos:R:3 comment="Sr2IrPb, optimized geometry, DFT PBE-GGA" spacegroup="No. 123" e_form_kj_per_mol_fu=-72 pbc="T T T"
Pb -4.242 -4.968 3.267
Sr -1.098 -3.386 2.090
Sr -0.118 -0.364 0.225
Ir -3.025 -1.218 0.953

Record 2
13
Lattice="-3.396 -4.752 -3.627 6.859 0.259 -0.389 -0.916 -1.978 7.436" Properties=species:S:1:pos:R:3 comment="NdNb4S8, optimized geometry, DFT PBE-GGA" spacegroup="No. 12" formation_energy_uncorrected_ev_per_atom=-1.23 pbc="T T T"
S 1.585 -2.996 4.718
S 2.689 -1.288 0.712
S 3.257 -4.941 2.322
S -0.710 -1.529 1.098
S -2.462 -3.763 -0.879
S 0.962 -3.474 -1.298
S -0.142 -5.182 2.708
S 5.009 -2.707 4.299
Nd 2.971 -0.859 3.523
Nb -1.979 -5.560 4.513
Nb 4.526 -0.910 -1.093
Nb 0.714 -0.927 -0.828
Nb 2.749 -3.566 -3.188

Record 3
4
Lattice="4.131 0.000 0.000 0.000 2.974 0.025 0.000 0.648 7.069" Properties=species:S:1:pos:R:3 comment="BaTc2W, optimized geometry, DFT PBE-GGA" spacegroup="No. 10" e_form_kj_per_mol_fu=289 pbc="T T T"
W 2.066 0.905 1.774
Tc 0.000 2.944 0.642
Tc 0.000 1.841 2.930
Ba 2.066 2.716 5.321

Record 4
4
Lattice="-2.834 -0.562 -3.987 0.995 -3.568 -3.244 -2.988 -3.897 -0.367" Properties=species:S:1:pos:R:3 comment="NaTbInPt, optimized geometry, DFT PBE-GGA" spacegroup="No. 216" e_form_kj_per_mol_fu=-211 pbc="T T T"
In -2.414 -4.014 -3.799
Pt -3.620 -6.020 -5.698
Tb 0.000 0.000 0.000
Na -1.207 -2.007 -1.899

Record 5
8
Lattice="-4.080 2.764 2.706 -0.472 -4.259 3.640 0.527 1.016 5.600" Properties=species:S:1:pos:R:3 comment="FeGe2B, optimized geometry, DFT PBE-GGA" spacegroup="No. 122" e_form_kj_per_mol_fu=248 pbc="T T T"
B -2.276 -0.747 3.173
B -1.111 -1.996 6.206
Fe 0.000 0.000 0.000
Fe -2.915 1.516 5.739
Ge -1.337 -0.027 6.774
Ge -2.259 1.301 3.401
Ge -3.563 -0.318 9.557
Ge -0.892 -1.915 4.158

Record 6
14
Lattice="-0.549 3.717 -1.798 -4.730 -1.989 2.155 2.758 6.026 11.614" Properties=species:S:1:pos:R:3 comment="Ho3GaRu3, optimized geometry, DFT PBE-GGA" spacegroup="No. 63" e_form_kj_per_mol_fu=-313 pbc="T T T"
Ga 1.105 4.872 4.908
Ga -0.274 1.858 -0.899
Ho -2.183 4.159 4.437
Ho 0.461 5.339 10.895
Ho 0.292 3.362 2.035
Ho -2.981 2.415 1.076
Ho -0.337 3.595 7.534
Ho -2.812 4.392 9.936
Ru 0.244 2.426 4.940
Ru -0.997 6.305 8.512
Ru -1.902 7.213 10.664
Ru -2.764 5.328 7.031
Ru -0.619 0.541 1.307
Ru -1.523 1.449 3.459

Record 7
4
Lattice="0.000 3.386 3.386 3.386 0.000 3.386 3.386 3.386 0.000" Properties=species:S:1:pos:R:3 comment="TeP2Cl, optimized geometry, DFT PBE-GGA" spacegroup="No. 225" formation_energy_uncorrected_ev_per_atom=0.69 pbc="T T T"
Cl 0.000 0.000 0.000
Te 3.386 3.386 3.386
P 1.693 1.693 1.693
P 5.079 5.079 5.079